No. 1
! V2AgHRh (PBE, optimized geometry); values from VASP
! **Mass density**: 8.69 Mg/m³
! **E_tot**: -0.2323 hartree per atom
! **Total moment**: 0.0 μB per cell
&SYSTEM
  ibrav = 0, nat = 5, ntyp = 4
/
ATOMIC_SPECIES
V 50.94 V.upf
Ag 107.87 Ag.upf
Rh 102.91 Rh.upf
H 1.01 H.upf
CELL_PARAMETERS angstrom
3.898 0.000 0.000
0.000 3.898 0.000
0.000 0.000 3.943
ATOMIC_POSITIONS crystal
V 0.000 0.500 0.000
V 0.500 0.000 0.000
Ag 0.500 0.500 0.500
Rh 0.000 0.000 0.500
H 0.000 0.000 0.000

No. 2
! K2AsO4 (PBE, optimized geometry); values from VASP
! **Energy relative to the elements, uncorrected**: -1.408 eV/atom
! **Relative energy among the computed polymorphs**: 0.0000 eV per atom
! **Mass density**: 2.80 Mg/m³
! **Total moment**: 1.9 μB per cell
&SYSTEM
  ibrav = 0, nat = 14, ntyp = 3
/
ATOMIC_SPECIES
O 16.00 O.upf
K 39.10 K.upf
As 74.92 As.upf
CELL_PARAMETERS angstrom
-4.026 -1.765 4.170
-1.009 -5.228 -3.187
7.081 -2.181 1.336
ATOMIC_POSITIONS crystal
O 0.528 0.019 0.660
O 0.472 0.981 0.340
O 0.950 0.250 0.682
O 0.218 0.750 0.012
O 0.472 0.519 0.340
O 0.528 0.481 0.660
O 0.782 0.250 0.988
O 0.050 0.750 0.318
K 0.907 0.750 0.607
K 0.339 0.250 0.021
K 0.661 0.750 0.979
K 0.093 0.250 0.393
As 0.709 0.250 0.741
As 0.291 0.750 0.259

No. 3
! CuIr3S (PBE, optimized geometry); values from VASP
! **Energy relative to the elements, uncorrected**: 0.877 eV/atom
! **Relative energy among the computed polymorphs**: 0.0000 eV per atom
! **Mass density**: 13.43 Mg/m³
! **Total moment**: 0.0 μB per cell
&SYSTEM
  ibrav = 0, nat = 5, ntyp = 3
/
ATOMIC_SPECIES
Cu 63.55 Cu.upf
Ir 192.22 Ir.upf
S 32.06 S.upf
CELL_PARAMETERS angstrom
4.365 0.000 0.000
0.000 4.365 0.000
0.000 0.000 4.365
ATOMIC_POSITIONS crystal
Cu 0.500 0.500 0.500
Ir 0.000 0.500 0.000
Ir 0.000 0.000 0.500
Ir 0.500 0.000 0.000
S 0.000 0.000 0.000

No. 4
! LaNi2Sn3 (PBE, optimized geometry); values from VASP
! **Mass density**: 7.54 Mg/m³
! **Energy of formation from the pure elements**: -0.320 eV/atom
! **Total moment**: 0.0 μB per cell
&SYSTEM
  ibrav = 0, nat = 12, ntyp = 3
/
ATOMIC_SPECIES
Ni 58.69 Ni.upf
Sn 118.71 Sn.upf
La 138.91 La.upf
CELL_PARAMETERS angstrom
-5.457 2.969 3.089
-3.914 -3.667 4.402
0.662 1.619 7.405
ATOMIC_POSITIONS crystal
Ni 0.500 0.000 0.000
Ni 0.000 0.500 0.000
Ni 0.500 0.500 0.000
Ni 0.000 0.000 0.000
Sn 0.256 0.256 0.743
Sn 0.256 0.744 0.743
Sn 0.744 0.744 0.257
Sn 0.744 0.256 0.743
Sn 0.256 0.744 0.257
Sn 0.744 0.256 0.257
La 0.224 0.224 0.327
La 0.776 0.776 0.673

No. 5
! Pr2ZnCd5 (PBE, optimized geometry); values from VASP
! **Mass density**: 7.42 Mg/m³
! **Energy of formation from the pure elements**: -0.250 eV/atom
! **Total moment**: 0.0 μB per cell
&SYSTEM
  ibrav = 0, nat = 16, ntyp = 3
/
ATOMIC_SPECIES
Cd 112.41 Cd.upf
Pr 140.91 Pr.upf
Zn 65.41 Zn.upf
CELL_PARAMETERS angstrom
4.742 0.000 0.000
-2.371 8.756 0.000
0.000 0.000 9.806
ATOMIC_POSITIONS crystal
Cd 0.359 0.717 0.966
Cd 0.809 0.619 0.103
Cd 0.641 0.283 0.466
Cd 0.641 0.283 0.034
Cd 0.401 0.803 0.250
Cd 0.191 0.381 0.603
Cd 0.191 0.381 0.897
Cd 0.809 0.619 0.397
Cd 0.359 0.717 0.534
Cd 0.599 0.197 0.750
Pr 0.804 0.608 0.750
Pr 0.196 0.392 0.250
Pr 0.000 0.000 0.000
Pr 0.000 0.000 0.500
Zn 0.551 0.102 0.250
Zn 0.449 0.898 0.750